[1]
This record from Alexandria describes a relaxed Tb6Sm3Th2Sc crystal. The functional is PBE.

## Properties
- Formation energy from the elements: 0.027 eV per atom
- Space-group type: C2/m, No. 12
- Total energy: -62.78 eV for the cell shown

```
Tb6Sm3Th2Sc
1.0
-4.2230 3.5348 2.7350
-0.6268 -6.1167 0.0291
7.6005 0.2985 9.0365
Tb Th Sm Sc
6 2 3 1
Direct
0.5862 0.9190 0.7558
0.2524 0.2524 0.7552
0.9190 0.5862 0.7558
0.0810 0.4138 0.2442
0.7476 0.7476 0.2448
0.4138 0.0810 0.2442
0.3336 0.6664 0.0000
0.6664 0.3336 0.0000
0.8334 0.1666 0.5000
0.1666 0.8334 0.5000
0.5000 0.5000 0.5000
0.0000 0.0000 0.0000
```

=====

[2]
This record from Alexandria describes a relaxed KCaTa crystal. The functional is PBE.

## Properties
- Formation energy from the elements: 1.247 eV per atom
- Energy above the lowest structure with this stoichiometry: 0.914 eV/atom
- Space-group type: P4/nmm, No. 129
- Total energy: -22.42 eV for the cell shown

```
KCaTa
1.0
3.9299 0.0000 0.0000
0.0000 3.9299 0.0000
0.0000 0.0000 13.9970
Ta K Ca
2 2 2
Direct
0.5000 0.0000 0.0283
0.0000 0.5000 0.9717
0.0000 0.5000 0.2301
0.5000 0.0000 0.7699
0.0000 0.0000 0.5000
0.5000 0.5000 0.5000
```

=====

The highest total energy belongs to which entry?
KCaTa